# Sn2RuS2

Sn2RuS2 after structural relaxation (PBE, the Alexandria database).

a b c (Å): 13.7867 13.7867 13.7867
angles (deg): 162.98 162.98 24.15
Atoms (fractional coordinates):
1 Sn 0.0495 0.2995 0.7500
2 Sn 0.2995 0.0495 0.2500
3 Sn 0.7005 0.9505 0.7500
4 Sn 0.9505 0.7005 0.2500
5 Ru 0.1250 0.8750 0.2500
6 Ru 0.8750 0.1250 0.7500
7 S 0.1688 0.4188 0.7500
8 S 0.4188 0.1688 0.2500
9 S 0.5812 0.8312 0.7500
10 S 0.8312 0.5812 0.2500

Summary:
offset from the most stable computed form = 0.000 eV/atom
E_form (uncorrected) = -0.4 eV/f.u.

---

# Pm2ReMoN5

Pm2ReMoN5 after structural relaxation (PBE, the Alexandria database).

a b c (Å): 6.8239 6.8239 10.4838
angles (deg): 90.00 90.00 151.82
Atoms (fractional coordinates):
1 Pm 0.1063 0.8937 0.5000
2 Pm 0.1528 0.8472 0.0891
3 Pm 0.8472 0.1528 0.5891
4 Pm 0.8937 0.1063 0.0000
5 Re 0.4785 0.5215 0.2607
6 Re 0.5215 0.4785 0.7607
7 Mo 0.2255 0.7745 0.8120
8 Mo 0.7745 0.2255 0.3120
9 N 0.0486 0.9514 0.8462
10 N 0.2792 0.7208 0.4374
11 N 0.3266 0.6734 0.1783
12 N 0.3708 0.6292 0.8009
13 N 0.4845 0.5155 0.5826
14 N 0.5155 0.4845 0.0826
15 N 0.6292 0.3708 0.3009
16 N 0.6734 0.3266 0.6783
17 N 0.7208 0.2792 0.9374
18 N 0.9514 0.0486 0.3462

Summary:
E_form (uncorrected) = -6.6 eV/f.u.

---

# ZrBeRe

ZrBeRe after structural relaxation (PBE, the Alexandria database).

a b c (Å): 4.4980 4.4980 2.7034
angles (deg): 90.00 90.00 120.00
Atoms (fractional coordinates):
1 Zr 0.0000 0.0000 0.0000
2 Be 0.3333 0.6667 0.4388
3 Re 0.6667 0.3333 0.6288

Summary:
offset from the most stable computed form = 0.433 eV/atom
ΔH_f (0 K) = 0.1578 eV/atom

---

# Mg5PdAu

Mg5PdAu after structural relaxation (PBE, the Alexandria database).

a b c (Å): 6.9381 6.9381 8.8869
angles (deg): 107.06 107.06 74.57
Atoms (fractional coordinates):
1 Mg 0.1493 0.8507 0.7500
2 Mg 0.2187 0.2870 0.6458
3 Mg 0.2870 0.2187 0.1458
4 Mg 0.3144 0.6705 0.0442
5 Mg 0.3295 0.6856 0.4558
6 Mg 0.6705 0.3144 0.5442
7 Mg 0.6856 0.3295 0.9558
8 Mg 0.7130 0.7813 0.8542
9 Mg 0.7813 0.7130 0.3542
10 Mg 0.8507 0.1493 0.2500
11 Pd 0.4531 0.5469 0.7500
12 Pd 0.5469 0.4531 0.2500
13 Au 0.0000 0.0000 0.0000
14 Au 0.0000 0.0000 0.5000

Summary:
ΔH_f (0 K) = -0.1898 eV/atom

---

# MnW

MnW after structural relaxation (PBE, the Alexandria database).

a b c (Å): 2.5983 4.4717 4.9247
angles (deg): 90.00 90.00 90.00
Atoms (fractional coordinates):
1 Mn 0.2500 0.2500 0.1034
2 Mn 0.7500 0.7500 0.8966
3 W 0.2500 0.7500 0.3736
4 W 0.7500 0.2500 0.6264

Summary:
ΔH_f (0 K) = 0.3623 eV/atom

---

# CeSn4Pd6

CeSn4Pd6 after structural relaxation (PBE, the Alexandria database).

a b c (Å): 7.7131 7.7131 4.2271
angles (deg): 90.00 90.00 120.00
Atoms (fractional coordinates):
1 Ce 0.0000 0.0000 0.0000
2 Sn 0.1924 0.3848 0.5000
3 Sn 0.1924 0.8076 0.5000
4 Sn 0.6152 0.8076 0.5000
5 Sn 0.6667 0.3333 0.0000
6 Pd 0.0747 0.5373 0.0000
7 Pd 0.4056 0.2028 0.5000
8 Pd 0.4627 0.5373 0.0000
9 Pd 0.4627 0.9253 0.0000
10 Pd 0.7972 0.2028 0.5000
11 Pd 0.7972 0.5944 0.5000

Summary:
ΔH_f (0 K) = -0.6072 eV/atom

---

Which formula does entry 6 have?
CeSn4Pd6

---

Copy entry 6 word for word.
# CeSn4Pd6

CeSn4Pd6 after structural relaxation (PBE, the Alexandria database).

a b c (Å): 7.7131 7.7131 4.2271
angles (deg): 90.00 90.00 120.00
Atoms (fractional coordinates):
1 Ce 0.0000 0.0000 0.0000
2 Sn 0.1924 0.3848 0.5000
3 Sn 0.1924 0.8076 0.5000
4 Sn 0.6152 0.8076 0.5000
5 Sn 0.6667 0.3333 0.0000
6 Pd 0.0747 0.5373 0.0000
7 Pd 0.4056 0.2028 0.5000
8 Pd 0.4627 0.5373 0.0000
9 Pd 0.4627 0.9253 0.0000
10 Pd 0.7972 0.2028 0.5000
11 Pd 0.7972 0.5944 0.5000

Summary:
ΔH_f (0 K) = -0.6072 eV/atom